1.
Sm2Y2CBrCl4, relaxed, DFT GGA-PBE; volume = 256.0 Å³/cell; excess energy over the best structure of this formula in the dataset = 0.04 eV/f.u.; SG = C2/m, No. 12; magnetic moment = 0.3 μB/cell
1.0
8.6415 -1.8962 0.0000
8.6415 1.8962 0.0000
-2.0505 0.0000 7.8110
Sm Y C Br Cl
2 2 1 1 4
Direct
0.1472 0.1472 0.0848
0.8528 0.8528 0.9152
0.4992 0.4992 0.2027
0.5008 0.5008 0.7973
0.0000 0.0000 0.0000
0.0000 0.0000 0.5000
0.3317 0.3317 0.1608
0.3380 0.3380 0.6580
0.6620 0.6620 0.3420
0.6683 0.6683 0.8392

---

2.
LaPr2Mg3CuPd2, relaxed, DFT GGA-PBE; volume = 213.1 Å³/cell; SG = Amm2, No. 38; magnetic moment = 0.0 μB/cell; E_tot = -37.7 eV for the cell shown
1.0
4.1646 0.0000 0.0000
0.0000 6.6292 3.8601
0.0000 -6.6292 3.8601
La Pr Mg Cu Pd
1 2 3 1 2
Direct
0.0000 0.0000 0.0000
0.0000 0.4162 0.8289
0.0000 0.8289 0.4162
0.5000 0.1779 0.4182
0.5000 0.4182 0.1779
0.5000 0.6506 0.6506
0.0000 0.4164 0.4164
0.5000 0.0823 0.7521
0.5000 0.7521 0.0823

---

3.
NdSnTe2AuSe, relaxed, DFT GGA-PBE; volume = 341.2 Å³/cell; SG = Cmcm, No. 63; magnetic moment = 0.0 μB/cell; E_tot = -52.4 eV for the cell shown
1.0
2.1411 -7.4103 0.0000
2.1411 7.4103 0.0000
0.0000 0.0000 10.7513
Nd Sn Te Au Se
2 2 4 2 2
Direct
0.0000 0.0000 0.0000
0.0000 0.0000 0.5000
0.2530 0.7470 0.7500
0.7470 0.2530 0.2500
0.3449 0.6551 0.0618
0.3449 0.6551 0.4382
0.6551 0.3449 0.5618
0.6551 0.3449 0.9382
0.4745 0.5255 0.2500
0.5255 0.4745 0.7500
0.0890 0.9110 0.2500
0.9110 0.0890 0.7500

---

4.
Co3CuAs5, relaxed, DFT GGA-PBE; volume = 147.6 Å³/cell; SG = P6/mmm, No. 191; magnetic moment = 0.0 μB/cell; E_tot = -47.2 eV for the cell shown
1.0
4.9122 0.0000 0.0000
-2.4561 4.2541 0.0000
0.0000 0.0000 7.0608
Co Cu As
3 1 5
Direct
0.0000 0.5000 0.0000
0.5000 0.0000 0.0000
0.5000 0.5000 0.0000
0.0000 0.0000 0.5000
0.0000 0.0000 0.0000
0.3333 0.6667 0.2815
0.3333 0.6667 0.7185
0.6667 0.3333 0.2815
0.6667 0.3333 0.7185

---

5.
Dy2Er2Lu3Ni2Te2, relaxed, DFT GGA-PBE; volume = 278.4 Å³/cell; excess energy over the best structure of this formula in the dataset = 0.15 eV/f.u.; SG = Imm2, No. 44; magnetic moment = 0.0 μB/cell
1.0
-1.9052 7.6916 4.7491
1.9052 -7.6916 4.7491
1.9052 7.6916 -4.7491
Dy Er Lu Ni Te
2 2 3 2 2
Direct
0.1847 0.0000 0.1847
0.8153 0.0000 0.8153
0.2063 0.3516 0.8546
0.4970 0.3516 0.1454
0.1235 0.6235 0.5000
0.5704 0.2049 0.3655
0.8393 0.2049 0.6345
0.4310 0.6935 0.7375
0.9559 0.6935 0.2625
0.4635 0.9635 0.5000
0.8549 0.8549 0.0000

---

6.
NdTmGe, relaxed, DFT GGA-PBE; volume = 85.1 Å³/cell; SG = F-43m, No. 216; magnetic moment = 0.6 μB/cell; E_tot = -13.0 eV for the cell shown
1.0
0.0000 3.4911 3.4911
3.4911 0.0000 3.4911
3.4911 3.4911 0.0000
Nd Tm Ge
1 1 1
Direct
0.0000 0.0000 0.0000
0.7500 0.7500 0.7500
0.5000 0.5000 0.5000

---

Question: Among the records above, which one has the highest magnetic moment?
Answer: NdTmGe